Compound: RbCaCu2Br6
Source: Alexandria
Functional: PBE
Structure: relaxed

Cell lengths 9.157, 9.157, 9.157 Å; angles 46.94, 46.94, 46.94 degrees
Fractional positions:
Rb: 0.000 0.000 0.000
Ca: 0.500 0.500 0.500
Cu: 0.235 0.235 0.235
Cu: 0.765 0.765 0.765
Br: 0.096 0.726 0.456
Br: 0.274 0.544 0.904
Br: 0.456 0.096 0.726
Br: 0.544 0.904 0.274
Br: 0.726 0.456 0.096
Br: 0.904 0.274 0.544

Values from the calculation:
Its space group is R-3, No. 148.


Compound: K2CaTa
Source: Alexandria
Functional: PBE
Structure: relaxed

Cell lengths 3.330, 6.094, 6.870 Å; angles 90.00, 90.00, 90.00 degrees
Fractional positions:
K: 0.000 0.000 0.000
K: 0.500 0.500 0.000
Ca: 0.000 0.500 0.500
Ta: 0.500 0.000 0.500

Values from the calculation:
For the formation energy, the calculation gives 1161 meV per atom. The calculation puts the energy above the most stable polymorph in this dataset at 295 meV per atom. Its space group is Pmmm, No. 47.


Compound: YEr2ThN4
Source: Alexandria
Functional: PBE
Structure: relaxed

Cell lengths 6.065, 3.512, 6.065 Å; angles 90.00, 109.32, 90.00 degrees
Fractional positions:
Y: 0.000 0.000 0.000
Er: 0.000 0.500 0.500
Er: 0.500 0.000 0.500
Th: 0.500 0.500 0.000
N: 0.247 0.000 0.744
N: 0.252 0.500 0.254
N: 0.748 0.500 0.746
N: 0.753 0.000 0.256

Values from the calculation:
Its space group is P2/m, No. 10.


Compound: SrZn2GeOs
Source: Alexandria
Functional: PBE
Structure: relaxed

Cell lengths 4.920, 4.920, 4.709 Å; angles 90.00, 90.00, 90.00 degrees
Fractional positions:
Sr: 0.000 0.000 0.000
Zn: 0.000 0.500 0.500
Zn: 0.500 0.000 0.500
Ge: 0.500 0.500 0.000
Os: 0.500 0.500 0.500

Values from the calculation:
For the formation energy, the calculation gives -180 meV per atom. Its space group is P4/mmm, No. 123.


Compound: CsNiPtS2
Source: Alexandria
Functional: PBE
Structure: relaxed

Cell lengths 4.900, 4.900, 4.895 Å; angles 90.00, 90.00, 90.00 degrees
Fractional positions:
Cs: 0.000 0.000 0.000
Ni: 0.500 0.500 0.000
Pt: 0.500 0.500 0.500
S: 0.000 0.500 0.500
S: 0.500 0.000 0.500

Values from the calculation:
Its space group is P4/mmm, No. 123.


Compound: LiAg4Hg
Source: Alexandria
Functional: PBE
Structure: relaxed

Cell lengths 4.895, 4.895, 5.703 Å; angles 105.69, 105.69, 111.27 degrees
Fractional positions:
Li: 0.000 0.000 0.000
Ag: 0.307 0.674 0.242
Ag: 0.326 0.693 0.758
Ag: 0.674 0.307 0.242
Ag: 0.693 0.326 0.758
Hg: 0.000 0.000 0.500

Values from the calculation:
For the formation energy, the calculation gives -26 meV per atom. The calculation puts the energy above the most stable polymorph in this dataset at 70 meV per atom. Its space group is C2/m, No. 12.


Compound: V2CoSiPt
Source: Alexandria
Functional: PBE
Structure: relaxed

Cell lengths 4.676, 4.676, 4.403 Å; angles 90.00, 90.00, 90.00 degrees
Fractional positions:
V: 0.000 0.500 0.000
V: 0.500 0.000 0.000
Co: 0.000 0.000 0.500
Si: 0.500 0.500 0.500
Pt: 0.500 0.500 0.000

Values from the calculation:
Its space group is P4/mmm, No. 123.


Compound: Dy4InHg2Ru
Source: Alexandria
Functional: PBE
Structure: relaxed

Cell lengths 8.880, 8.880, 8.880 Å; angles 33.92, 33.92, 33.92 degrees
Fractional positions:
Dy: 0.113 0.113 0.113
Dy: 0.367 0.367 0.367
Dy: 0.633 0.633 0.633
Dy: 0.887 0.887 0.887
In: 0.500 0.500 0.500
Hg: 0.241 0.241 0.241
Hg: 0.759 0.759 0.759
Ru: 0.000 0.000 0.000

Values from the calculation:
For the formation energy, the calculation gives -461 meV per atom. Its space group is R-3m, No. 166.


Compound: Pm2TmPaAs4
Source: Alexandria
Functional: PBE
Structure: relaxed

Cell lengths 7.161, 4.158, 7.216 Å; angles 90.00, 109.44, 90.00 degrees
Fractional positions:
Pm: 0.000 0.000 0.000
Pm: 0.500 0.500 0.000
Tm: 0.000 0.500 0.500
Pa: 0.500 0.000 0.500
As: 0.248 0.000 0.737
As: 0.254 0.500 0.262
As: 0.746 0.500 0.738
As: 0.752 0.000 0.263

Values from the calculation:
For the formation energy, the calculation gives -1409 meV per atom. Its space group is P2/m, No. 10.


Compound: HfZrCdH2
Source: Alexandria
Functional: PBE
Structure: relaxed

Cell lengths 3.925, 3.925, 6.084 Å; angles 90.00, 90.00, 90.00 degrees
Fractional positions:
Hf: 0.000 0.000 0.000
Zr: 0.500 0.500 0.000
Cd: 0.000 0.000 0.500
H: 0.000 0.500 0.500
H: 0.500 0.000 0.500

Values from the calculation:
Its space group is P4/mmm, No. 123.


Compound: KTaBe4
Source: Alexandria
Functional: PBE
Structure: relaxed

Cell lengths 4.833, 4.833, 4.833 Å; angles 60.00, 60.00, 60.00 degrees
Fractional positions:
K: 0.000 0.000 0.000
Ta: 0.750 0.750 0.750
Be: 0.385 0.385 0.385
Be: 0.385 0.385 0.845
Be: 0.385 0.845 0.385
Be: 0.845 0.385 0.385

Values from the calculation:
For the formation energy, the calculation gives 760 meV per atom. Its space group is F-43m, No. 216.


Compound: LiTc2AgRh
Source: Alexandria
Functional: PBE
Structure: relaxed

Cell lengths 4.692, 4.692, 4.509 Å; angles 90.00, 90.00, 90.00 degrees
Fractional positions:
Li: 0.000 0.000 0.000
Tc: 0.000 0.500 0.500
Tc: 0.500 0.000 0.500
Ag: 0.500 0.500 0.000
Rh: 0.000 0.000 0.500

Values from the calculation:
For the formation energy, the calculation gives 1273 meV per atom. Its space group is P4/mmm, No. 123.


Record order is preserved below.
V: 374.74; 139.41; 121.91; 114.00; 117.52; 111.78; 96.27; 194.36; 202.63; 93.71; 79.84; 99.24 Å³ per cell
Record order is preserved below.
Electronic total energy: -3.20; -2.85; -8.74; -4.20; -4.00; -2.30; -6.06; -4.34; -6.67; -4.24; -3.88; -5.30 eV per atom
Record order is preserved below.
Total magnetic moment: 0.111; 0.556; 0.000; 0.000; 0.346; 0.000; 0.000; 0.000; 0.000; 0.000; 0.000; 0.623 μB per atom